Record 1
PBE TbPr6Nd2Sm, relaxed; VASP energy = -4.645 eV per atom
1.0
9.5233 -2.1849 -2.2674
0.7227 8.7604 -2.0625
0.7227 -2.3857 8.6780
Tb Pr Nd Sm
2 12 4 2
Direct
0.2500 0.9807 0.0193 Tb
0.7500 0.0193 0.9807 Tb
0.0548 0.1176 0.7503 Pr
0.4452 0.2497 0.8824 Pr
0.9452 0.8824 0.2497 Pr
0.5548 0.7503 0.1176 Pr
0.3111 0.9830 0.4258 Pr
0.1889 0.5742 0.0170 Pr
0.6889 0.0170 0.5742 Pr
0.8111 0.4258 0.9830 Pr
0.1202 0.7045 0.5002 Pr
0.3798 0.4998 0.2955 Pr
0.8798 0.2955 0.4998 Pr
0.6202 0.5002 0.7045 Pr
0.4573 0.8093 0.7106 Nd
0.0427 0.2894 0.1907 Nd
0.5427 0.1907 0.2894 Nd
0.9573 0.7106 0.8093 Nd
0.2500 0.4064 0.5936 Sm
0.7500 0.5936 0.4064 Sm

Record 2
PBE Tb5PrNd2Sm, relaxed; VASP energy = -4.435 eV per atom
1.0
8.7768 0.0000 0.0000
0.0000 8.7768 0.0000
-4.3884 -4.3884 7.8422
Tb Pr Nd Sm
10 2 4 2
Direct
0.9285 0.4285 0.2745 Tb
0.6540 0.1540 0.7255 Tb
0.0715 0.5715 0.7255 Tb
0.1540 0.0715 0.7255 Tb
0.5715 0.6540 0.7255 Tb
0.8460 0.9285 0.2745 Tb
0.4285 0.3460 0.2745 Tb
0.3460 0.8460 0.2745 Tb
0.5000 0.5000 0.0000 Tb
0.0000 0.0000 0.0000 Tb
0.2500 0.2500 0.5000 Pr
0.7500 0.7500 0.5000 Pr
0.1176 0.3824 0.0000 Nd
0.6176 0.1176 0.0000 Nd
0.3824 0.8824 0.0000 Nd
0.8824 0.6176 0.0000 Nd
0.2500 0.7500 0.5000 Sm
0.7500 0.2500 0.5000 Sm

Record 3
PBE TbPr5NdSm2, relaxed; VASP energy = -4.473 eV per atom
1.0
8.9842 0.0000 0.0000
0.0000 8.9842 0.0000
-4.4921 -4.4921 7.9276
Tb Pr Nd Sm
2 10 2 4
Direct
0.2500 0.7500 0.5000 Tb
0.7500 0.2500 0.5000 Tb
0.9311 0.4311 0.2770 Pr
0.6540 0.1540 0.7230 Pr
0.0689 0.5689 0.7230 Pr
0.1540 0.0689 0.7230 Pr
0.5689 0.6540 0.7230 Pr
0.8460 0.9311 0.2770 Pr
0.4311 0.3460 0.2770 Pr
0.3460 0.8460 0.2770 Pr
0.5000 0.5000 0.0000 Pr
0.0000 0.0000 0.0000 Pr
0.2500 0.2500 0.5000 Nd
0.7500 0.7500 0.5000 Nd
0.1161 0.3839 0.0000 Sm
0.6161 0.1161 0.0000 Sm
0.3839 0.8839 0.0000 Sm
0.8839 0.6161 0.0000 Sm

Q: What is the VASP energy in the second record?
A: -4.435 eV per atom